Density functional theory data (GGA+U) for LiTbCoF6 after structural relaxation.

Unit cell a=4.945 b=4.945 c=9.815 alpha=90.00 beta=90.00 gamma=90.00
Element x y z (fractional)
Li (0.000, 0.000, 0.000)
Li (0.500, 0.500, 0.500)
Tb (0.000, 0.000, 0.663)
Tb (0.500, 0.500, 0.163)
Co (0.000, 0.000, 0.330)
Co (0.500, 0.500, 0.830)
F (0.185, 0.185, 0.165)
F (0.200, 0.200, 0.488)
F (0.207, 0.207, 0.833)
F (0.293, 0.707, 0.333)
F (0.300, 0.700, 0.988)
F (0.315, 0.685, 0.665)
F (0.685, 0.315, 0.665)
F (0.700, 0.300, 0.988)
F (0.707, 0.293, 0.333)
F (0.793, 0.793, 0.833)
F (0.800, 0.800, 0.488)
F (0.815, 0.815, 0.165)

The total moment comes out at 3.0 μB/f.u. The final energy is -102.8 eV for the cell shown.